Record 1
Compound: MoPtPb
Source: the Alexandria database
Functional: GGA-PBE
Structure: relaxed

crystal system: trigonal
energy relative to the lowest polymorph listed for this composition: 121 meV/atom

```
data_MoPtPb
_space_group_name_H-M_alt 'P 3 m 1'
_space_group_IT_number 156
_cell_length_a 3.0610
_cell_length_b 3.0610
_cell_length_c 7.0995
_cell_angle_alpha 90.00
_cell_angle_beta 90.00
_cell_angle_gamma 120.00
loop_
_space_group_symop_operation_xyz
'x,y,z'
'-y,x-y,z'
'-x+y,-x,z'
'-y,-x,z'
'-x+y,y,z'
'x,x-y,z'
loop_
_atom_site_label
_atom_site_type_symbol
_atom_site_fract_x
_atom_site_fract_y
_atom_site_fract_z
Mo1 Mo 0.0000 0.0000 0.0000
Pt1 Pt 0.3333 0.6667 0.7169
Pb1 Pb 0.6667 0.3333 0.3552
```

***

Record 2
Compound: Eu2Er4C
Source: the Alexandria database
Functional: GGA-PBE
Structure: relaxed

crystal system: tetragonal
total DFT energy (no corrections): -6.7659 eV/atom

```
data_Eu2Er4C
_space_group_name_H-M_alt 'I 4/m m m'
_space_group_IT_number 139
_space_group_name_Hall '-I 4 2'
_cell_length_a 4.930
_cell_length_b 4.930
_cell_length_c 18.414
_cell_angle_alpha 90.00
_cell_angle_beta 90.00
_cell_angle_gamma 90.00
loop_
_atom_site_label
_atom_site_type_symbol
_atom_site_fract_x
_atom_site_fract_y
_atom_site_fract_z
Eu1 Eu 0.000 0.000 0.175
Er1 Er 0.000 0.000 0.374
Er2 Er 0.000 0.500 0.000
C1 C 0.000 0.000 0.500
```

***

Record 3
Compound: V5B2Os
Source: the Alexandria database
Functional: GGA-PBE
Structure: relaxed

crystal system: orthorhombic
total DFT energy (no corrections): -8.8736 eV/atom

```
data_V5B2Os
_space_group_name_H-M_alt 'I m m m'
_space_group_IT_number 71
_space_group_name_Hall '-I 2 2'
_cell_length_a 3.075
_cell_length_b 7.200
_cell_length_c 8.336
_cell_angle_alpha 90.00
_cell_angle_beta 90.00
_cell_angle_gamma 90.00
loop_
_atom_site_label
_atom_site_type_symbol
_atom_site_fract_x
_atom_site_fract_y
_atom_site_fract_z
V1 V 0.000 0.000 0.000
V2 V 0.000 0.312 0.341
B1 B 0.000 0.000 0.286
Os1 Os 0.000 0.500 0.000
```

***

Record 4
Compound: Na2AlO2
Source: the Alexandria database
Functional: GGA-PBE
Structure: relaxed

crystal system: tetragonal
E_form (uncorrected): -219 kJ/mol of formula units
energy relative to the lowest polymorph listed for this composition: 1230 meV/atom

```
data_Na2AlO2
_space_group_name_H-M_alt 'I 4/m m m'
_space_group_IT_number 139
_space_group_name_Hall '-I 4 2'
_cell_length_a 4.257
_cell_length_b 4.257
_cell_length_c 7.532
_cell_angle_alpha 90.00
_cell_angle_beta 90.00
_cell_angle_gamma 90.00
loop_
_atom_site_label
_atom_site_type_symbol
_atom_site_fract_x
_atom_site_fract_y
_atom_site_fract_z
Na1 Na 0.000 0.000 0.156
Al1 Al 0.000 0.000 0.500
O1 O 0.000 0.500 0.250
```

***

Record 5
Compound: PmPrPb4
Source: the Alexandria database
Functional: GGA-PBE
Structure: relaxed

crystal system: cubic
energy relative to the lowest polymorph listed for this composition: 54 meV/atom

```
data_PmPrPb4
_space_group_name_H-M_alt 'F -4 3 m'
_space_group_IT_number 216
_space_group_name_Hall 'F -4 2 3'
_cell_length_a 9.155
_cell_length_b 9.155
_cell_length_c 9.155
_cell_angle_alpha 90.00
_cell_angle_beta 90.00
_cell_angle_gamma 90.00
loop_
_atom_site_label
_atom_site_type_symbol
_atom_site_fract_x
_atom_site_fract_y
_atom_site_fract_z
Pm1 Pm 0.000 0.000 0.000
Pr1 Pr 0.250 0.250 0.750
Pb1 Pb 0.125 0.125 0.375
```

***

Record 6
Compound: NiP2RhS
Source: the Alexandria database
Functional: GGA-PBE
Structure: relaxed

crystal system: monoclinic
E_form (uncorrected): -116 kJ/mol of formula units
energy relative to the lowest polymorph listed for this composition: 117 meV/atom

```
data_NiP2RhS
_space_group_name_H-M_alt 'P 1 m 1'
_space_group_IT_number 6
_cell_length_a 4.814
_cell_length_b 3.517
_cell_length_c 5.336
_cell_angle_alpha 90.00
_cell_angle_beta 113.03
_cell_angle_gamma 90.00
loop_
_space_group_symop_operation_xyz
'x,y,z'
'x,-y,z'
loop_
_atom_site_label
_atom_site_type_symbol
_atom_site_fract_x
_atom_site_fract_y
_atom_site_fract_z
Ni1 Ni 0.000 0.000 0.000
P1 P 0.501 0.000 0.201
P2 P 0.882 0.500 0.755
Rh1 Rh 0.836 0.500 0.315
S1 S 0.247 0.000 0.464
```

***

Record 7
Compound: Sm6ThTe8
Source: the Alexandria database
Functional: GGA-PBE
Structure: relaxed

crystal system: cubic
E_form (uncorrected): -1985 kJ/mol of formula units

```
data_Sm6ThTe8
_space_group_name_H-M_alt 'F m -3 m'
_space_group_IT_number 225
_space_group_name_Hall '-F 4 2 3'
_cell_length_a 12.517
_cell_length_b 12.517
_cell_length_c 12.517
_cell_angle_alpha 90.00
_cell_angle_beta 90.00
_cell_angle_gamma 90.00
loop_
_atom_site_label
_atom_site_type_symbol
_atom_site_fract_x
_atom_site_fract_y
_atom_site_fract_z
Sm1 Sm 0.000 0.250 0.250
Th1 Th 0.000 0.000 0.000
Te1 Te 0.000 0.000 0.258
Te2 Te 0.250 0.250 0.250
```

***

Record 8
Compound: NdAl2Ga
Source: the Alexandria database
Functional: GGA-PBE
Structure: relaxed

crystal system: orthorhombic
energy relative to the lowest polymorph listed for this composition: 0 meV/atom

```
data_NdAl2Ga
_space_group_name_H-M_alt 'A m m 2'
_space_group_IT_number 38
_cell_length_a 6.935
_cell_length_b 4.384
_cell_length_c 11.051
_cell_angle_alpha 90.00
_cell_angle_beta 90.00
_cell_angle_gamma 90.00
loop_
_space_group_symop_operation_xyz
'x,y,z'
'-x,-y,z'
'-x,y,z'
'x,-y,z'
'x,y+1/2,z+1/2'
'-x,-y+1/2,z+1/2'
'-x,y+1/2,z+1/2'
'x,-y+1/2,z+1/2'
loop_
_atom_site_label
_atom_site_type_symbol
_atom_site_fract_x
_atom_site_fract_y
_atom_site_fract_z
Nd1 Nd 0.000 0.000 0.000
Nd2 Nd 0.500 0.000 0.160
Al1 Al 0.000 0.000 0.288
Al2 Al 0.312 0.000 0.463
Al3 Al 0.500 0.000 0.875
Ga1 Ga 0.189 0.000 0.696
```

***

Record 9
Compound: Na12Bi3H5
Source: the Alexandria database
Functional: GGA-PBE
Structure: relaxed

crystal system: cubic
total DFT energy (no corrections): -2.3643 eV/atom

```
data_Na12Bi3H5
_space_group_name_H-M_alt 'I a -3 d'
_space_group_IT_number 230
_space_group_name_Hall '-I 4bd 2c 3'
_cell_length_a 15.952
_cell_length_b 15.952
_cell_length_c 15.952
_cell_angle_alpha 90.00
_cell_angle_beta 90.00
_cell_angle_gamma 90.00
loop_
_atom_site_label
_atom_site_type_symbol
_atom_site_fract_x
_atom_site_fract_y
_atom_site_fract_z
Na1 Na 0.036 0.050 0.651
Bi1 Bi 0.000 0.250 0.125
H1 H 0.000 0.000 0.000
H2 H 0.000 0.250 0.375
```

***

Record 10
Compound: Ag2PW
Source: the Alexandria database
Functional: GGA-PBE
Structure: relaxed

crystal system: orthorhombic
total DFT energy (no corrections): -5.4247 eV/atom

```
data_Ag2PW
_space_group_name_H-M_alt 'I m m 2'
_space_group_IT_number 44
_cell_length_a 3.136
_cell_length_b 4.498
_cell_length_c 9.779
_cell_angle_alpha 90.00
_cell_angle_beta 90.00
_cell_angle_gamma 90.00
loop_
_space_group_symop_operation_xyz
'x,y,z'
'-x,-y,z'
'-x,y,z'
'x,-y,z'
'x+1/2,y+1/2,z+1/2'
'-x+1/2,-y+1/2,z+1/2'
'-x+1/2,y+1/2,z+1/2'
'x+1/2,-y+1/2,z+1/2'
loop_
_atom_site_label
_atom_site_type_symbol
_atom_site_fract_x
_atom_site_fract_y
_atom_site_fract_z
Ag1 Ag 0.000 0.000 0.000
Ag2 Ag 0.000 0.500 0.199
P1 P 0.000 0.500 0.746
W1 W 0.000 0.000 0.423
```

***

Record 11
Compound: YMg2Cu2
Source: the Alexandria database
Functional: GGA-PBE
Structure: relaxed

crystal system: tetragonal
energy relative to the lowest polymorph listed for this composition: 168 meV/atom

```
data_YMg2Cu2
_space_group_name_H-M_alt 'I 4/m m m'
_space_group_IT_number 139
_space_group_name_Hall '-I 4 2'
_cell_length_a 4.638
_cell_length_b 4.638
_cell_length_c 9.458
_cell_angle_alpha 90.00
_cell_angle_beta 90.00
_cell_angle_gamma 90.00
loop_
_atom_site_label
_atom_site_type_symbol
_atom_site_fract_x
_atom_site_fract_y
_atom_site_fract_z
Y1 Y 0.000 0.000 0.000
Mg1 Mg 0.000 0.000 0.356
Cu1 Cu 0.000 0.500 0.250
```

***

Record 12
Compound: TlCuI4
Source: the Alexandria database
Functional: GGA-PBE
Structure: relaxed

crystal system: monoclinic
E_form (uncorrected): -109 kJ/mol of formula units

```
data_TlCuI4
_space_group_name_H-M_alt 'C 1 2/m 1'
_space_group_IT_number 12
_cell_length_a 13.851
_cell_length_b 7.191
_cell_length_c 11.577
_cell_angle_alpha 90.00
_cell_angle_beta 109.53
_cell_angle_gamma 90.00
loop_
_space_group_symop_operation_xyz
'x,y,z'
'-x,-y,-z'
'-x,y,-z'
'x,-y,z'
'x+1/2,y+1/2,z'
'-x+1/2,-y+1/2,-z'
'-x+1/2,y+1/2,-z'
'x+1/2,-y+1/2,z'
loop_
_atom_site_label
_atom_site_type_symbol
_atom_site_fract_x
_atom_site_fract_y
_atom_site_fract_z
Tl1 Tl 0.195 0.000 0.184
Cu1 Cu 0.091 0.000 0.670
I1 I 0.052 0.000 0.880
I2 I 0.082 0.500 0.612
I3 I 0.105 0.000 0.442
I4 I 0.215 0.500 0.220
```

***

Record 13
Compound: CsK2ZrBr8
Source: the Alexandria database
Functional: GGA-PBE
Structure: relaxed

crystal system: triclinic
E_form (uncorrected): -1669 kJ/mol of formula units

```
data_CsK2ZrBr8
_space_group_name_H-M_alt 'P -1'
_space_group_IT_number 2
_cell_length_a 6.276
_cell_length_b 7.606
_cell_length_c 10.415
_cell_angle_alpha 89.98
_cell_angle_beta 89.81
_cell_angle_gamma 89.37
loop_
_space_group_symop_operation_xyz
'x,y,z'
'-x,-y,-z'
loop_
_atom_site_label
_atom_site_type_symbol
_atom_site_fract_x
_atom_site_fract_y
_atom_site_fract_z
Cs1 Cs 0.000 0.000 0.000
K1 K 0.498 0.500 0.278
Zr1 Zr 0.000 0.000 0.500
Br1 Br 0.217 0.698 0.501
Br2 Br 0.243 0.128 0.685
Br3 Br 0.244 0.505 0.000
Br4 Br 0.245 0.126 0.314
```

***

Record 14
Compound: BaLiAs3
Source: the Alexandria database
Functional: GGA-PBE
Structure: relaxed

crystal system: cubic
energy relative to the lowest polymorph listed for this composition: 0 meV/atom

```
data_BaLiAs3
_space_group_name_H-M_alt 'P m -3 m'
_space_group_IT_number 221
_space_group_name_Hall '-P 4 2 3'
_cell_length_a 4.909
_cell_length_b 4.909
_cell_length_c 4.909
_cell_angle_alpha 90.00
_cell_angle_beta 90.00
_cell_angle_gamma 90.00
loop_
_atom_site_label
_atom_site_type_symbol
_atom_site_fract_x
_atom_site_fract_y
_atom_site_fract_z
Ba1 Ba 0.000 0.000 0.000
Li1 Li 0.500 0.500 0.500
As1 As 0.000 0.500 0.500
```

***

Record 15
Compound: CsPu3O9
Source: the Alexandria database
Functional: GGA-PBE
Structure: relaxed

crystal system: hexagonal
E_form (uncorrected): -3214 kJ/mol of formula units

```
data_CsPu3O9
_space_group_name_H-M_alt 'P 6/m m m'
_space_group_IT_number 191
_space_group_name_Hall '-P 6 2'
_cell_length_a 7.9902
_cell_length_b 7.9902
_cell_length_c 4.1432
_cell_angle_alpha 90.00
_cell_angle_beta 90.00
_cell_angle_gamma 120.00
loop_
_atom_site_label
_atom_site_type_symbol
_atom_site_fract_x
_atom_site_fract_y
_atom_site_fract_z
Cs1 Cs 0.0000 0.0000 0.0000
Pu1 Pu 0.0000 0.5000 0.5000
O1 O 0.0000 0.5000 0.0000
O2 O 0.2063 0.4126 0.5000
```

***

Record 16
Compound: Sc3Cd2Co
Source: the Alexandria database
Functional: GGA-PBE
Structure: relaxed

crystal system: orthorhombic
total DFT energy (no corrections): -4.9418 eV/atom

```
data_Sc3Cd2Co
_space_group_name_H-M_alt 'C m m m'
_space_group_IT_number 65
_space_group_name_Hall '-C 2 2'
_cell_length_a 4.718
_cell_length_b 14.047
_cell_length_c 7.170
_cell_angle_alpha 90.00
_cell_angle_beta 90.00
_cell_angle_gamma 90.00
loop_
_atom_site_label
_atom_site_type_symbol
_atom_site_fract_x
_atom_site_fract_y
_atom_site_fract_z
Sc1 Sc 0.000 0.000 0.228
Sc2 Sc 0.000 0.324 0.215
Cd1 Cd 0.000 0.165 0.500
Cd2 Cd 0.000 0.500 0.000
Cd3 Cd 0.000 0.500 0.500
Co1 Co 0.000 0.163 0.000
```

***

Record 17
Compound: PmPu2Rh
Source: the Alexandria database
Functional: GGA-PBE
Structure: relaxed

crystal system: tetragonal
energy relative to the lowest polymorph listed for this composition: 0 meV/atom

```
data_PmPu2Rh
_space_group_name_H-M_alt 'P 4/m m m'
_space_group_IT_number 123
_space_group_name_Hall '-P 4 2'
_cell_length_a 3.569
_cell_length_b 3.569
_cell_length_c 7.915
_cell_angle_alpha 90.00
_cell_angle_beta 90.00
_cell_angle_gamma 90.00
loop_
_atom_site_label
_atom_site_type_symbol
_atom_site_fract_x
_atom_site_fract_y
_atom_site_fract_z
Pm1 Pm 0.000 0.000 0.000
Pu1 Pu 0.500 0.500 0.305
Rh1 Rh 0.000 0.000 0.500
```

***

Record 18
Compound: Pr2GaNi4Ge3
Source: the Alexandria database
Functional: GGA-PBE
Structure: relaxed

crystal system: tetragonal
total DFT energy (no corrections): -5.6310 eV/atom

```
data_Pr2GaNi4Ge3
_space_group_name_H-M_alt 'P -4 m 2'
_space_group_IT_number 115
_cell_length_a 4.173
_cell_length_b 4.173
_cell_length_c 9.799
_cell_angle_alpha 90.00
_cell_angle_beta 90.00
_cell_angle_gamma 90.00
loop_
_space_group_symop_operation_xyz
'x,y,z'
'y,-x,-z'
'-x,-y,z'
'-y,x,-z'
'-x,y,z'
'-y,-x,-z'
'x,-y,z'
'y,x,-z'
loop_
_atom_site_label
_atom_site_type_symbol
_atom_site_fract_x
_atom_site_fract_y
_atom_site_fract_z
Pr1 Pr 0.000 0.500 0.248
Ga1 Ga 0.000 0.000 0.500
Ni1 Ni 0.000 0.000 0.000
Ni2 Ni 0.000 0.500 0.629
Ni3 Ni 0.500 0.500 0.000
Ge1 Ge 0.000 0.500 0.874
Ge2 Ge 0.500 0.500 0.500
```

***

Record 19
Compound: PmPr3Ge3
Source: the Alexandria database
Functional: GGA-PBE
Structure: relaxed

crystal system: monoclinic
total DFT energy (no corrections): -5.2301 eV/atom

```
data_PmPr3Ge3
_space_group_name_H-M_alt 'C 1 2/m 1'
_space_group_IT_number 12
_cell_length_a 8.428
_cell_length_b 12.945
_cell_length_c 7.796
_cell_angle_alpha 90.00
_cell_angle_beta 92.15
_cell_angle_gamma 90.00
loop_
_space_group_symop_operation_xyz
'x,y,z'
'-x,-y,-z'
'-x,y,-z'
'x,-y,z'
'x+1/2,y+1/2,z'
'-x+1/2,-y+1/2,-z'
'-x+1/2,y+1/2,-z'
'x+1/2,-y+1/2,z'
loop_
_atom_site_label
_atom_site_type_symbol
_atom_site_fract_x
_atom_site_fract_y
_atom_site_fract_z
Pm1 Pm 0.250 0.000 0.093
Pr1 Pr 0.000 0.165 0.500
Pr2 Pr 0.000 0.227 0.000
Pr3 Pr 0.127 0.500 0.367
Ge1 Ge 0.062 0.000 0.775
Ge2 Ge 0.172 0.328 0.699
```

***

Record 20
Compound: Dy4Cd2Ag
Source: the Alexandria database
Functional: GGA-PBE
Structure: relaxed

crystal system: trigonal
total DFT energy (no corrections): -3.4265 eV/atom

```
data_Dy4Cd2Ag
_space_group_name_H-M_alt 'R -3 m'
_space_group_IT_number 166
_space_group_name_Hall '-R 3 2"'
_cell_length_a 5.1890
_cell_length_b 5.1890
_cell_length_c 25.2021
_cell_angle_alpha 90.00
_cell_angle_beta 90.00
_cell_angle_gamma 120.00
loop_
_atom_site_label
_atom_site_type_symbol
_atom_site_fract_x
_atom_site_fract_y
_atom_site_fract_z
Dy1 Dy 0.0000 0.0000 0.1224
Dy2 Dy 0.0000 0.0000 0.3732
Cd1 Cd 0.0000 0.0000 0.2498
Ag1 Ag 0.0000 0.0000 0.5000
```

***

Record 21
Compound: Ga2Sb2Cl
Source: the Alexandria database
Functional: GGA-PBE
Structure: relaxed

crystal system: tetragonal
E_form (uncorrected): -98 kJ/mol of formula units
energy relative to the lowest polymorph listed for this composition: 0 meV/atom

```
data_Ga2Sb2Cl
_space_group_name_H-M_alt 'I 4/m m m'
_space_group_IT_number 139
_space_group_name_Hall '-I 4 2'
_cell_length_a 5.200
_cell_length_b 5.200
_cell_length_c 9.725
_cell_angle_alpha 90.00
_cell_angle_beta 90.00
_cell_angle_gamma 90.00
loop_
_atom_site_label
_atom_site_type_symbol
_atom_site_fract_x
_atom_site_fract_y
_atom_site_fract_z
Ga1 Ga 0.000 0.500 0.250
Sb1 Sb 0.000 0.000 0.144
Cl1 Cl 0.000 0.000 0.500
```